[1]
Material: B7C3
Method: DFT, PBE-GGA
State: relaxed

Cell lengths 4.451, 4.451, 6.541 Å; angles 99.90, 99.90, 31.64 degrees
Atoms (fractional coordinates):
1 B 0.000 0.000 0.000
2 B 0.188 0.188 0.782
3 B 0.349 0.349 0.558
4 B 0.403 0.403 0.822
5 B 0.506 0.506 0.360
6 B 0.565 0.565 0.626
7 B 0.723 0.723 0.408
8 C 0.191 0.191 0.039
9 C 0.755 0.755 0.159
10 C 0.936 0.936 0.215

Results
distance to the lowest polymorph of the same formula = 0.92 eV/f.u.
formation enthalpy at 0 K = 0.38 eV/atom
symmetry = No. 8



[2]
Material: BaCaGaN2
Method: DFT, PBE-GGA
State: relaxed

Cell lengths 6.120, 5.427, 6.952 Å; angles 90.00, 90.05, 90.00 degrees
Atoms (fractional coordinates):
1 Ba 0.000 0.001 0.250
2 Ba 0.000 0.999 0.750
3 Ca 0.500 0.500 0.250
4 Ca 0.500 0.500 0.750
5 Ga 0.500 0.000 0.000
6 Ga 0.500 0.000 0.500
7 N 0.301 0.250 0.000
8 N 0.301 0.750 0.500
9 N 0.699 0.250 0.500
10 N 0.699 0.750 0.000

Results
ΔE_f (raw) = -0.347 eV per atom
symmetry = No. 13



[3]
Material: Pm4Pr2ErMg
Method: DFT, PBE-GGA
State: relaxed

Cell lengths 5.064, 5.064, 10.254 Å; angles 90.00, 90.00, 90.00 degrees
Atoms (fractional coordinates):
1 Pm 0.000 0.500 0.249
2 Pm 0.000 0.500 0.751
3 Pm 0.500 0.000 0.249
4 Pm 0.500 0.000 0.751
5 Pr 0.000 0.000 0.000
6 Pr 0.500 0.500 0.500
7 Er 0.000 0.000 0.500
8 Mg 0.500 0.500 0.000

Results
formation enthalpy at 0 K = 0.01 eV/atom
symmetry = No. 123



[4]
Material: Cs3Na2HoF9
Method: DFT, PBE-GGA
State: relaxed

Cell lengths 6.432, 6.432, 8.058 Å; angles 90.00, 90.00, 120.00 degrees
Atoms (fractional coordinates):
1 Cs 0.000 0.000 0.000
2 Cs 0.333 0.667 0.685
3 Cs 0.667 0.333 0.315
4 Na 0.333 0.667 0.183
5 Na 0.667 0.333 0.817
6 Ho 0.000 0.000 0.500
7 F 0.000 0.500 0.000
8 F 0.159 0.318 0.343
9 F 0.159 0.841 0.343
10 F 0.318 0.159 0.657
11 F 0.500 0.000 0.000
12 F 0.500 0.500 0.000
13 F 0.682 0.841 0.343
14 F 0.841 0.159 0.657
15 F 0.841 0.682 0.657

Results
ΔE_f (raw) = -2.959 eV per atom
symmetry = No. 164



[5]
Material: Mn3Cu2S8
Method: DFT, PBE-GGA
State: relaxed

Cell lengths 6.477, 6.477, 6.062 Å; angles 98.90, 98.90, 60.22 degrees
Atoms (fractional coordinates):
1 Mn 0.000 0.000 0.000
2 Mn 0.286 0.714 0.500
3 Mn 0.714 0.286 0.500
4 Cu 0.283 0.283 0.919
5 Cu 0.717 0.717 0.081
6 S 0.101 0.101 0.370
7 S 0.123 0.637 0.144
8 S 0.363 0.877 0.856
9 S 0.367 0.367 0.601
10 S 0.633 0.633 0.399
11 S 0.637 0.123 0.144
12 S 0.877 0.363 0.856
13 S 0.899 0.899 0.630

Results
ΔE_f (raw) = -0.361 eV per atom
symmetry = No. 12



[6]
Material: KNaDy2Cl8
Method: DFT, PBE-GGA
State: relaxed

Cell lengths 6.741, 8.289, 6.841 Å; angles 90.00, 94.16, 90.00 degrees
Atoms (fractional coordinates):
1 K 0.000 0.000 0.000
2 Na 0.000 0.500 0.000
3 Dy 0.500 0.254 0.500
4 Dy 0.500 0.746 0.500
5 Cl 0.229 0.269 0.212
6 Cl 0.229 0.731 0.212
7 Cl 0.312 0.500 0.670
8 Cl 0.317 0.000 0.662
9 Cl 0.683 0.000 0.338
10 Cl 0.688 0.500 0.330
11 Cl 0.771 0.269 0.788
12 Cl 0.771 0.731 0.788

Results
ΔE_f (raw) = -2.142 eV per atom
symmetry = No. 10



[7]
Material: Ba2Tl3Cd4Au
Method: DFT, PBE-GGA
State: relaxed

Cell lengths 5.009, 5.009, 12.095 Å; angles 90.00, 90.00, 90.00 degrees
Atoms (fractional coordinates):
1 Ba 0.000 0.500 0.240
2 Ba 0.500 0.000 0.760
3 Tl 0.000 0.000 0.000
4 Tl 0.000 0.500 0.637
5 Tl 0.500 0.000 0.363
6 Cd 0.000 0.000 0.500
7 Cd 0.000 0.500 0.878
8 Cd 0.500 0.000 0.122
9 Cd 0.500 0.500 0.500
10 Au 0.500 0.500 0.000

Results
formation enthalpy at 0 K = -0.27 eV/atom
symmetry = No. 115



[8]
Material: Li2NbPd6
Method: DFT, PBE-GGA
State: relaxed

Cell lengths 7.482, 7.482, 2.821 Å; angles 90.00, 90.00, 120.00 degrees
Atoms (fractional coordinates):
1 Li 0.333 0.667 0.000
2 Li 0.667 0.333 0.000
3 Nb 0.000 0.000 0.500
4 Pd 0.000 0.356 0.500
5 Pd 0.000 0.691 0.000
6 Pd 0.309 0.309 0.000
7 Pd 0.356 0.000 0.500
8 Pd 0.644 0.644 0.500
9 Pd 0.691 0.000 0.000

Results
distance to the lowest polymorph of the same formula = 0.00 eV/f.u.
formation enthalpy at 0 K = -0.37 eV/atom
symmetry = No. 189



[9]
Material: Pu4GeRh3
Method: DFT, PBE-GGA
State: relaxed

Cell lengths 5.993, 5.993, 5.993 Å; angles 109.47, 109.47, 109.47 degrees
Atoms (fractional coordinates):
1 Pu 0.000 0.000 0.500
2 Pu 0.000 0.500 0.000
3 Pu 0.500 0.000 0.000
4 Pu 0.500 0.500 0.500
5 Ge 0.000 0.000 0.000
6 Rh 0.000 0.500 0.500
7 Rh 0.500 0.000 0.500
8 Rh 0.500 0.500 0.000

Results
distance to the lowest polymorph of the same formula = 0.00 eV/f.u.
formation enthalpy at 0 K = -0.35 eV/atom
symmetry = No. 229



[10]
Material: TbNd2Y4Tm2
Method: DFT, PBE-GGA
State: relaxed

Cell lengths 6.188, 6.195, 7.986 Å; angles 82.83, 75.10, 80.42 degrees
Atoms (fractional coordinates):
1 Tb 0.000 0.000 0.000
2 Nd 0.443 0.891 0.222
3 Nd 0.557 0.109 0.778
4 Y 0.221 0.446 0.113
5 Y 0.332 0.668 0.664
6 Y 0.668 0.332 0.336
7 Y 0.779 0.554 0.887
8 Tm 0.110 0.223 0.556
9 Tm 0.890 0.777 0.444

Results
formation enthalpy at 0 K = 0.02 eV/atom
symmetry = No. 2



[11]
Material: SrMgSb2
Method: DFT, PBE-GGA
State: relaxed

Cell lengths 4.512, 4.512, 11.952 Å; angles 90.00, 90.00, 90.00 degrees
Atoms (fractional coordinates):
1 Sr 0.250 0.250 0.220
2 Sr 0.750 0.750 0.780
3 Mg 0.250 0.750 0.500
4 Mg 0.750 0.250 0.500
5 Sb 0.250 0.250 0.653
6 Sb 0.250 0.750 0.000
7 Sb 0.750 0.250 0.000
8 Sb 0.750 0.750 0.347

Results
ΔE_f (raw) = -0.703 eV per atom
symmetry = No. 129



[12]
Material: DyYBeAl
Method: DFT, PBE-GGA
State: relaxed

Cell lengths 4.988, 4.988, 4.988 Å; angles 60.00, 60.00, 60.00 degrees
Atoms (fractional coordinates):
1 Dy 0.000 0.000 0.000
2 Y 0.500 0.500 0.500
3 Be 0.250 0.250 0.250
4 Al 0.750 0.750 0.750

Results
formation enthalpy at 0 K = -0.14 eV/atom
symmetry = No. 216



[13]
Material: Ba2SmP2N6
Method: DFT, PBE-GGA
State: relaxed

Cell lengths 7.137, 7.137, 7.137 Å; angles 49.00, 49.00, 49.00 degrees
Atoms (fractional coordinates):
1 Ba 0.211 0.211 0.211
2 Ba 0.789 0.789 0.789
3 Sm 0.000 0.000 0.000
4 P 0.416 0.416 0.416
5 P 0.584 0.584 0.584
6 N 0.263 0.263 0.726
7 N 0.263 0.726 0.263
8 N 0.274 0.737 0.737
9 N 0.726 0.263 0.263
10 N 0.737 0.274 0.737
11 N 0.737 0.737 0.274

Results
ΔE_f (raw) = -0.827 eV per atom
symmetry = No. 166



[14]
Material: KPt3
Method: DFT, PBE-GGA
State: relaxed

Cell lengths 10.381, 10.381, 10.381 Å; angles 15.67, 15.67, 15.67 degrees
Atoms (fractional coordinates):
1 K 0.000 0.000 0.000
2 Pt 0.243 0.243 0.243
3 Pt 0.500 0.500 0.500
4 Pt 0.757 0.757 0.757

Results
distance to the lowest polymorph of the same formula = 1.41 eV/f.u.
formation enthalpy at 0 K = 0.20 eV/atom
symmetry = No. 166



[15]
Material: BaCuOs2
Method: DFT, PBE-GGA
State: relaxed

Cell lengths 4.293, 4.460, 5.167 Å; angles 90.00, 104.04, 90.00 degrees
Atoms (fractional coordinates):
1 Ba 0.000 0.000 0.000
2 Cu 0.500 0.000 0.500
3 Os 0.276 0.500 0.604
4 Os 0.724 0.500 0.396

Results
distance to the lowest polymorph of the same formula = 2.02 eV/f.u.
formation enthalpy at 0 K = 0.71 eV/atom
symmetry = No. 10



[16]
Material: LaCe2Zr
Method: DFT, PBE-GGA
State: relaxed

Cell lengths 11.965, 11.965, 11.965 Å; angles 15.80, 15.80, 15.80 degrees
Atoms (fractional coordinates):
1 La 0.000 0.000 0.000
2 Ce 0.089 0.089 0.089
3 Ce 0.911 0.911 0.911
4 Zr 0.500 0.500 0.500

Results
distance to the lowest polymorph of the same formula = 0.28 eV/f.u.
formation enthalpy at 0 K = 0.19 eV/atom
symmetry = No. 166



[17]
Material: K3Ce2ErS6
Method: DFT, PBE-GGA
State: relaxed

Cell lengths 7.195, 7.195, 7.740 Å; angles 98.92, 98.92, 120.00 degrees
Atoms (fractional coordinates):
1 K 0.000 0.000 0.000
2 K 0.333 0.667 0.000
3 K 0.667 0.333 0.000
4 Ce 0.167 0.833 0.500
5 Ce 0.833 0.167 0.500
6 Er 0.500 0.500 0.500
7 S 0.109 0.432 0.296
8 S 0.245 0.245 0.704
9 S 0.432 0.109 0.296
10 S 0.568 0.891 0.704
11 S 0.755 0.755 0.296
12 S 0.891 0.568 0.704

Results
ΔE_f (raw) = -1.816 eV per atom
symmetry = No. 12



[18]
Material: Ce8Ge5Sb
Method: DFT, PBE-GGA
State: relaxed

Cell lengths 7.833, 7.833, 7.833 Å; angles 109.64, 109.64, 109.14 degrees
Atoms (fractional coordinates):
1 Ce 0.135 0.740 0.756
2 Ce 0.145 0.236 0.766
3 Ce 0.260 0.016 0.395
4 Ce 0.470 0.379 0.234
5 Ce 0.621 0.855 0.092
6 Ce 0.621 0.865 0.605
7 Ce 0.764 0.530 0.908
8 Ce 0.984 0.379 0.244
9 Ge 0.000 0.000 0.000
10 Ge 0.248 0.631 0.123
11 Ge 0.369 0.492 0.617
12 Ge 0.508 0.125 0.877
13 Ge 0.875 0.752 0.383
14 Sb 0.750 0.250 0.500

Results
ΔE_f (raw) = -0.727 eV per atom
symmetry = No. 82



[19]
Material: SrHIr2
Method: DFT, PBE-GGA
State: relaxed

Cell lengths 5.697, 5.697, 5.697 Å; angles 60.00, 60.00, 60.00 degrees
Atoms (fractional coordinates):
1 Sr 0.125 0.125 0.125
2 Sr 0.875 0.875 0.875
3 H 0.375 0.375 0.375
4 H 0.625 0.625 0.625
5 Ir 0.000 0.500 0.500
6 Ir 0.500 0.000 0.500
7 Ir 0.500 0.500 0.000
8 Ir 0.500 0.500 0.500

Results
distance to the lowest polymorph of the same formula = 0.00 eV/f.u.
symmetry = No. 227



[20]
Material: LiAg2BiF6
Method: DFT, PBE-GGA
State: relaxed

Cell lengths 5.826, 5.973, 10.144 Å; angles 90.00, 123.36, 90.00 degrees
Atoms (fractional coordinates):
1 Li 0.000 0.000 0.000
2 Li 0.000 0.500 0.500
3 Ag 0.225 0.061 0.748
4 Ag 0.225 0.439 0.248
5 Ag 0.775 0.561 0.752
6 Ag 0.775 0.939 0.252
7 Bi 0.500 0.000 0.500
8 Bi 0.500 0.500 0.000
9 F 0.129 0.212 0.442
10 F 0.129 0.288 0.942
11 F 0.220 0.694 0.434
12 F 0.220 0.806 0.934
13 F 0.361 0.041 0.241
14 F 0.361 0.459 0.741
15 F 0.639 0.541 0.259
16 F 0.639 0.959 0.759
17 F 0.780 0.194 0.066
18 F 0.780 0.306 0.566
19 F 0.871 0.712 0.058
20 F 0.871 0.788 0.558

Results
ΔE_f (raw) = -1.937 eV per atom
symmetry = No. 14



[21]
Material: Li2RhCl
Method: DFT, PBE-GGA
State: relaxed

Cell lengths 4.370, 4.370, 4.370 Å; angles 60.00, 60.00, 60.00 degrees
Atoms (fractional coordinates):
1 Li 0.250 0.250 0.250
2 Li 0.750 0.750 0.750
3 Rh 0.000 0.000 0.000
4 Cl 0.500 0.500 0.500

Results
ΔE_f (raw) = -0.090 eV per atom
distance to the lowest polymorph of the same formula = 2.12 eV/f.u.
symmetry = No. 225



[22]
Material: DyHo2Au
Method: DFT, PBE-GGA
State: relaxed

Cell lengths 6.399, 6.399, 7.800 Å; angles 90.00, 90.00, 134.94 degrees
Atoms (fractional coordinates):
1 Dy 0.043 0.957 0.750
2 Dy 0.957 0.043 0.250
3 Ho 0.356 0.644 0.536
4 Ho 0.356 0.644 0.964
5 Ho 0.644 0.356 0.036
6 Ho 0.644 0.356 0.464
7 Au 0.204 0.796 0.250
8 Au 0.796 0.204 0.750

Results
distance to the lowest polymorph of the same formula = 0.17 eV/f.u.
formation enthalpy at 0 K = -0.41 eV/atom
symmetry = No. 63



Summary of spin magnetization in μB per cell
0.0, 0.0, 0.0, 1.3, 5.7, 0.0, 0.0, 0.0, 20.1, 0.0, 0.0, 0.0, 0.0, 0.0, 0.0, 0.0, 2.0, 7.5, 0.0, 0.0, 0.3, 0.0
(order as listed above)
Summary of ρ in Mg/m³
2.8, 4.0, 6.7, 4.5, 4.2, 2.9, 8.4, 9.0, 13.6, 6.5, 4.9, 5.4, 5.0, 14.6, 10.1, 7.7, 3.8, 7.2, 12.0, 6.1, 4.3, 10.1
(order as listed above)
Summary of total energy in eV/cell
-70.6, -50.7, -34.6, -71.0, -73.4, -52.1, -20.6, -48.4, -86.8, -48.8, -28.7, -19.1, -78.4, -18.4, -25.6, -24.6, -66.3, -84.9, -46.2, -84.2, -13.4, -37.3
(order as listed above)